# GGA-PBE Pr2Ho2Sc7, optimized geometry
# Crystal system: monoclinic
data_Pr2Ho2Sc7
_chemical_formula_sum 'Pr4 Ho4 Sc14'
_space_group_name_H-M_alt 'C 1 2/m 1'
_space_group_IT_number 12
_cell_length_a 6.3990
_cell_length_b 10.7194
_cell_length_c 9.3360
_cell_angle_alpha 90.00
_cell_angle_beta 107.26
_cell_angle_gamma 90.00
loop_
_space_group_symop_operation_xyz
'x,y,z'
'-x,-y,-z'
'-x,y,-z'
'x,-y,z'
'x+1/2,y+1/2,z'
'-x+1/2,-y+1/2,-z'
'-x+1/2,y+1/2,-z'
'x+1/2,-y+1/2,z'
loop_
_atom_site_label
_atom_site_fract_x
_atom_site_fract_y
_atom_site_fract_z
Pr1 0.2416 0.0000 0.2342
Ho1 0.0000 0.2884 0.5000
Sc1 0.0000 0.5000 0.0000
Sc2 0.1025 0.2111 0.8494
Sc3 0.2178 0.0000 0.6311

***

# GGA-PBE Pr2Ho5Sc, optimized geometry
# Distance to the lowest polymorph of the same formula: 0 meV per atom
# Crystal system: orthorhombic
data_Pr2Ho5Sc
_chemical_formula_sum 'Pr4 Ho10 Sc2'
_space_group_name_H-M_alt 'P b a m'
_space_group_IT_number 55
_cell_length_a 7.0839
_cell_length_b 14.1731
_cell_length_c 4.9955
_cell_angle_alpha 90.00
_cell_angle_beta 90.00
_cell_angle_gamma 90.00
loop_
_space_group_symop_operation_xyz
'x,y,z'
'-x,-y,-z'
'-x,-y,z'
'x,y,-z'
'x+1/2,-y+1/2,-z'
'-x+1/2,y+1/2,z'
'-x+1/2,y+1/2,-z'
'x+1/2,-y+1/2,z'
loop_
_atom_site_label
_atom_site_fract_x
_atom_site_fract_y
_atom_site_fract_z
Pr1 0.2456 0.1234 0.0000
Ho1 0.0000 0.5000 0.5000
Ho2 0.0038 0.7519 0.5000
Ho3 0.2480 0.3760 0.0000
Sc1 0.0000 0.0000 0.5000

***

# GGA-PBE Pr7Ho3Sc, optimized geometry
# Crystal system: monoclinic
data_Pr7Ho3Sc
_chemical_formula_sum 'Pr14 Ho6 Sc2'
_space_group_name_H-M_alt 'C 1 2/m 1'
_space_group_IT_number 12
_cell_length_a 12.7971
_cell_length_b 11.4767
_cell_length_c 5.8754
_cell_angle_alpha 90.00
_cell_angle_beta 117.30
_cell_angle_gamma 90.00
loop_
_space_group_symop_operation_xyz
'x,y,z'
'-x,-y,-z'
'-x,y,-z'
'x,-y,z'
'x+1/2,y+1/2,z'
'-x+1/2,-y+1/2,-z'
'-x+1/2,y+1/2,-z'
'x+1/2,-y+1/2,z'
loop_
_atom_site_label
_atom_site_fract_x
_atom_site_fract_y
_atom_site_fract_z
Pr1 0.0000 0.0000 0.0000
Pr2 0.1889 0.2864 0.6888
Pr3 0.2138 0.5000 0.2127
Ho1 0.0000 0.2973 0.0000
Ho2 0.0000 0.5000 0.5000
Sc1 0.0000 0.0000 0.5000

***

# GGA-PBE Pr4Ho3Sc, optimized geometry
# Distance to the lowest polymorph of the same formula: 0 meV per atom
# Crystal system: monoclinic
data_Pr4Ho3Sc
_chemical_formula_sum 'Pr8 Ho6 Sc2'
_space_group_name_H-M_alt 'C 1 2/m 1'
_space_group_IT_number 12
_cell_length_a 23.1688
_cell_length_b 3.6092
_cell_length_c 6.2319
_cell_angle_alpha 90.00
_cell_angle_beta 95.01
_cell_angle_gamma 90.00
loop_
_space_group_symop_operation_xyz
'x,y,z'
'-x,-y,-z'
'-x,y,-z'
'x,-y,z'
'x+1/2,y+1/2,z'
'-x+1/2,-y+1/2,-z'
'-x+1/2,y+1/2,-z'
'x+1/2,-y+1/2,z'
loop_
_atom_site_label
_atom_site_fract_x
_atom_site_fract_y
_atom_site_fract_z
Pr1 0.1214 0.0000 0.3766
Pr2 0.1245 0.5000 0.8740
Ho1 0.0000 0.0000 0.0000
Ho2 0.2493 0.5000 0.2504
Sc1 0.0000 0.5000 0.5000

***

Short version: energy relative to the elements = 0.161; 0.037; 0.219; 0.034 eV per atom, in the order given.